Record 1
Computed, not measured: a relaxed structure of RbPbBr2F at the PBE-GGA level of DFT.

abc: 6.085 6.085 4.758
angles: 90.00 90.00 90.00
Element x y z (fractional)
1 Br 0.500 0.000 0.000
2 Br 0.000 0.500 0.000
3 F 0.000 0.000 0.500
4 Pb 0.000 0.000 0.000
5 Rb 0.500 0.500 0.500

Summary:
theoretical density: 4.4 g cm⁻³
total DFT energy (no corrections): -18.19 eV for the cell shown
formation energy (no corrections): -160.0 kJ per mole of atoms

=====

Record 2
Computed, not measured: a relaxed structure of Rb2PbBr2F2 at the PBE-GGA level of DFT.

abc: 4.915 4.915 9.615
angles: 104.81 104.81 90.00
Element x y z (fractional)
1 Pb 0.000 0.000 0.000
2 Rb 0.369 0.369 0.738
3 Rb 0.631 0.631 0.262
4 F 0.500 0.000 0.000
5 Br 0.170 0.170 0.341
6 Br 0.830 0.830 0.659
7 F 0.000 0.500 0.000

Summary:
theoretical density: 4.4 g cm⁻³
total DFT energy (no corrections): -26.76 eV for the cell shown
formation energy (no corrections): -193.3 kJ per mole of atoms

=====

Record 3
Computed, not measured: a relaxed structure of ScPbBrF2 at the PBE-GGA level of DFT.

abc: 4.647 6.679 4.647
angles: 90.00 90.00 90.00
Site moments in Bohr magnetons follow the coordinates.
Element x y z (fractional)
1 F 0.500 0.000 0.000  0.01
2 F 0.000 0.000 0.500  0.01
3 Br 0.000 0.500 0.000  0.01
4 Sc 0.500 0.500 0.500  1.17
5 Pb 0.000 0.000 0.000  0.01

Summary:
theoretical density: 4.3 g cm⁻³
total DFT energy (no corrections): -21.46 eV for the cell shown
formation energy (no corrections): -115.9 kJ per mole of atoms